# SrSbHAu (GGA-PBE, optimized geometry)
# - DFT total energy (eV/atom) = -3.65
# - spin magnetization (μB per cell) = 0.0
data_SrSbHAu
_chemical_formula_sum 'Sr1 Sb1 H1 Au1'
_cell_length_a 4.7399
_cell_length_b 4.7399
_cell_length_c 4.4251
_cell_angle_alpha 90.00
_cell_angle_beta 90.00
_cell_angle_gamma 120.00
_symmetry_space_group_name_H-M 'P 3 m 1'
_symmetry_Int_Tables_number 156
_symmetry_space_group_name_Hall 'P 3 -2"'
loop_
_atom_site_label
_atom_site_type_symbol
_atom_site_fract_x
_atom_site_fract_y
_atom_site_fract_z
Sr1 Sr 0.0000 0.0000 0.0000
Sb1 Sb 0.6667 0.3333 0.5368
H1 H 0.3333 0.6667 0.0416
Au1 Au 0.3333 0.6667 0.4363


# Sb2TeHAu (GGA-PBE, optimized geometry)
# - distance to the lowest polymorph of the same formula (meV per atom) = 441
# - spin magnetization (μB per cell) = 1.0
data_Sb2TeHAu
_chemical_formula_sum 'Sb2 Te1 H1 Au1'
_cell_length_a 5.4365
_cell_length_b 5.4365
_cell_length_c 5.6021
_cell_angle_alpha 90.00
_cell_angle_beta 90.00
_cell_angle_gamma 90.00
_symmetry_space_group_name_H-M 'P 4/m m m'
_symmetry_Int_Tables_number 123
_symmetry_space_group_name_Hall '-P 4 2'
loop_
_atom_site_label
_atom_site_type_symbol
_atom_site_fract_x
_atom_site_fract_y
_atom_site_fract_z
Sb1 Sb 0.0000 0.5000 0.0000
Te1 Te 0.0000 0.0000 0.5000
H1 H 0.5000 0.5000 0.5000
Au1 Au 0.0000 0.0000 0.0000


# Sb2TeHAu (GGA-PBE, optimized geometry)
# - distance to the lowest polymorph of the same formula (meV per atom) = 0
# - spin magnetization (μB per cell) = 0.0
data_Sb2TeHAu
_chemical_formula_sum 'Sb2 Te1 H1 Au1'
_cell_length_a 4.7133
_cell_length_b 4.7133
_cell_length_c 4.7509
_cell_angle_alpha 90.00
_cell_angle_beta 90.00
_cell_angle_gamma 90.00
_symmetry_space_group_name_H-M 'P 4/m m m'
_symmetry_Int_Tables_number 123
_symmetry_space_group_name_Hall '-P 4 2'
loop_
_atom_site_label
_atom_site_type_symbol
_atom_site_fract_x
_atom_site_fract_y
_atom_site_fract_z
Sb1 Sb 0.0000 0.5000 0.0000
Te1 Te 0.0000 0.0000 0.5000
H1 H 0.0000 0.0000 0.0000
Au1 Au 0.5000 0.5000 0.5000


# Ti7Sb2H2Au (GGA-PBE, optimized geometry)
# - DFT total energy (eV/atom) = -6.58
# - spin magnetization (μB per cell) = 0.0
data_Ti7Sb2H2Au
_chemical_formula_sum 'Ti14 Sb4 H4 Au2'
_cell_length_a 3.9621
_cell_length_b 3.9621
_cell_length_c 23.3977
_cell_angle_alpha 90.00
_cell_angle_beta 90.00
_cell_angle_gamma 90.00
_symmetry_space_group_name_H-M 'I 4/m m m'
_symmetry_Int_Tables_number 139
_symmetry_space_group_name_Hall '-I 4 2'
loop_
_atom_site_label
_atom_site_type_symbol
_atom_site_fract_x
_atom_site_fract_y
_atom_site_fract_z
Ti1 Ti 0.0000 0.0000 0.0000
Ti2 Ti 0.0000 0.0000 0.2014
Ti3 Ti 0.0000 0.5000 0.0924
Sb1 Sb 0.0000 0.0000 0.3197
H1 H 0.0000 0.0000 0.0839
Au1 Au 0.0000 0.0000 0.5000


# Ti2SbHAu (GGA-PBE, optimized geometry)
# - DFT total energy (eV/atom) = -5.60
# - spin magnetization (μB per cell) = 0.0
data_Ti2SbHAu
_chemical_formula_sum 'Ti2 Sb1 H1 Au1'
_cell_length_a 4.1151
_cell_length_b 4.1151
_cell_length_c 4.3631
_cell_angle_alpha 90.00
_cell_angle_beta 90.00
_cell_angle_gamma 90.00
_symmetry_space_group_name_H-M 'P 4/m m m'
_symmetry_Int_Tables_number 123
_symmetry_space_group_name_Hall '-P 4 2'
loop_
_atom_site_label
_atom_site_type_symbol
_atom_site_fract_x
_atom_site_fract_y
_atom_site_fract_z
Ti1 Ti 0.0000 0.5000 0.0000
Sb1 Sb 0.0000 0.0000 0.5000
H1 H 0.5000 0.5000 0.0000
Au1 Au 0.5000 0.5000 0.5000


# TlSb2HAu (GGA-PBE, optimized geometry)
# - DFT total energy (eV/atom) = -3.31
# - spin magnetization (μB per cell) = 0.0
data_TlSb2HAu
_chemical_formula_sum 'Tl1 Sb2 H1 Au1'
_cell_length_a 5.7483
_cell_length_b 5.7483
_cell_length_c 3.4381
_cell_angle_alpha 90.00
_cell_angle_beta 90.00
_cell_angle_gamma 90.00
_symmetry_space_group_name_H-M 'P 4/m m m'
_symmetry_Int_Tables_number 123
_symmetry_space_group_name_Hall '-P 4 2'
loop_
_atom_site_label
_atom_site_type_symbol
_atom_site_fract_x
_atom_site_fract_y
_atom_site_fract_z
Tl1 Tl 0.0000 0.0000 0.0000
Sb1 Sb 0.0000 0.5000 0.5000
H1 H 0.5000 0.5000 0.0000
Au1 Au 0.5000 0.5000 0.5000


Copy entry 1 word for word.
# SrSbHAu (GGA-PBE, optimized geometry)
# - DFT total energy (eV/atom) = -3.65
# - spin magnetization (μB per cell) = 0.0
data_SrSbHAu
_chemical_formula_sum 'Sr1 Sb1 H1 Au1'
_cell_length_a 4.7399
_cell_length_b 4.7399
_cell_length_c 4.4251
_cell_angle_alpha 90.00
_cell_angle_beta 90.00
_cell_angle_gamma 120.00
_symmetry_space_group_name_H-M 'P 3 m 1'
_symmetry_Int_Tables_number 156
_symmetry_space_group_name_Hall 'P 3 -2"'
loop_
_atom_site_label
_atom_site_type_symbol
_atom_site_fract_x
_atom_site_fract_y
_atom_site_fract_z
Sr1 Sr 0.0000 0.0000 0.0000
Sb1 Sb 0.6667 0.3333 0.5368
H1 H 0.3333 0.6667 0.0416
Au1 Au 0.3333 0.6667 0.4363


Repeat the sixth record exactly.
# TlSb2HAu (GGA-PBE, optimized geometry)
# - DFT total energy (eV/atom) = -3.31
# - spin magnetization (μB per cell) = 0.0
data_TlSb2HAu
_chemical_formula_sum 'Tl1 Sb2 H1 Au1'
_cell_length_a 5.7483
_cell_length_b 5.7483
_cell_length_c 3.4381
_cell_angle_alpha 90.00
_cell_angle_beta 90.00
_cell_angle_gamma 90.00
_symmetry_space_group_name_H-M 'P 4/m m m'
_symmetry_Int_Tables_number 123
_symmetry_space_group_name_Hall '-P 4 2'
loop_
_atom_site_label
_atom_site_type_symbol
_atom_site_fract_x
_atom_site_fract_y
_atom_site_fract_z
Tl1 Tl 0.0000 0.0000 0.0000
Sb1 Sb 0.0000 0.5000 0.5000
H1 H 0.5000 0.5000 0.0000
Au1 Au 0.5000 0.5000 0.5000